(1)
A relaxed Li2MgS crystal. Source: Alexandria, functional GGA-PBEsol.

Computed properties:
The calculation puts the uncorrected energy at -48.75 eV for the cell shown. For the uncorrected formation energy, the calculation gives -0.54 eV per atom.

Cell lengths 7.711, 7.711, 5.264 Å; angles 90.00, 90.00, 90.00 degrees
Space group I-42d (No. 122)
Symmetry-distinct sites (fractional):
Li (0.154, 0.250, 0.125) x8
Mg (0.000, 0.000, 0.500) x4
S (0.000, 0.000, 0.000) x4

(2)
A relaxed K5Na3Ta3Nb5O24 crystal. Source: Alexandria, functional GGA-PBEsol.

Computed properties:
The calculation puts the uncorrected energy at -328.62 eV for the cell shown. For the uncorrected formation energy, the calculation gives -2.53 eV per atom.

Cell lengths 7.980, 8.002, 8.010 Å; angles 89.89, 89.94, 89.93 degrees
Space group P1 (No. 1)
Symmetry-distinct sites (fractional):
K (0.000, 0.000, 0.000) x1
K (0.000, 0.000, 0.499) x1
K (0.000, 0.500, 0.000) x1
K (0.001, 0.501, 0.500) x1
K (0.499, 0.500, 0.000) x1
Na (0.505, 0.512, 0.515) x1
Na (0.506, 0.011, 0.514) x1
Na (0.508, 0.012, 0.013) x1
Ta (0.251, 0.252, 0.752) x1
Ta (0.749, 0.251, 0.753) x1
Ta (0.750, 0.752, 0.752) x1
Nb (0.254, 0.754, 0.755) x1
Nb (0.257, 0.255, 0.254) x1
Nb (0.257, 0.756, 0.256) x1
Nb (0.753, 0.256, 0.255) x1
Nb (0.753, 0.756, 0.254) x1
O (0.246, 0.994, 0.243) x1
O (0.247, 0.745, 0.993) x1
O (0.248, 0.494, 0.244) x1
O (0.249, 0.242, 0.992) x1
O (0.249, 0.743, 0.494) x1
O (0.250, 0.494, 0.742) x1
O (0.251, 0.242, 0.495) x1
O (0.251, 0.996, 0.741) x1
O (0.496, 0.745, 0.242) x1
O (0.497, 0.236, 0.241) x1
O (0.497, 0.244, 0.742) x1
O (0.498, 0.743, 0.739) x1
O (0.741, 0.243, 0.496) x1
O (0.741, 0.494, 0.246) x1
O (0.741, 0.745, 0.495) x1
O (0.742, 0.995, 0.244) x1
O (0.742, 0.996, 0.742) x1
O (0.743, 0.242, 0.993) x1
O (0.743, 0.747, 0.992) x1
O (0.744, 0.495, 0.742) x1
O (0.995, 0.244, 0.245) x1
O (0.995, 0.743, 0.244) x1
O (0.995, 0.746, 0.742) x1
O (0.996, 0.244, 0.743) x1

(3)
A relaxed CaMgWS2 crystal. Source: Alexandria, functional GGA-PBEsol.

Computed properties:
The calculation puts the uncorrected energy at -22.76 eV for the cell shown. For the uncorrected formation energy, the calculation gives 0.73 eV per atom.

Cell lengths 4.824, 4.824, 4.946 Å; angles 90.00, 90.00, 90.00 degrees
Space group P4/mmm (No. 123)
Symmetry-distinct sites (fractional):
Ca (0.000, 0.000, 0.000) x1
Mg (0.500, 0.500, 0.500) x1
W (0.500, 0.500, 0.000) x1
S (0.000, 0.500, 0.500) x2

(4)
A relaxed BaTa2Al crystal. Source: Alexandria, functional GGA-PBEsol.

Computed properties:
The calculation puts the uncorrected energy at -29.60 eV for the cell shown. The calculated formation energy comes out at 0.437 eV/atom.

Cell lengths 2.963, 2.963, 9.982 Å; angles 90.00, 90.00, 90.00 degrees
Space group P4mm (No. 99)
Symmetry-distinct sites (fractional):
Ba (0.000, 0.000, 0.000) x1
Ta (0.000, 0.000, 0.524) x1
Ta (0.500, 0.500, 0.313) x1
Al (0.500, 0.500, 0.719) x1

(5)
A relaxed K2ErAgCl6 crystal. Source: Alexandria, functional GGA-PBEsol.

Computed properties:
The calculation puts the uncorrected energy at -160.56 eV for the cell shown. For the uncorrected formation energy, the calculation gives -1.76 eV per atom.

Cell lengths 10.411, 10.411, 10.411 Å; angles 90.00, 90.00, 90.00 degrees
Space group Fm-3m (No. 225)
Symmetry-distinct sites (fractional):
K (0.250, 0.250, 0.250) x8
Er (0.000, 0.000, 0.000) x4
Ag (0.000, 0.000, 0.500) x4
Cl (0.000, 0.000, 0.246) x24

(6)
A relaxed ZnBiIr3 crystal. Source: Alexandria, functional GGA-PBEsol.

Computed properties:
The calculation puts the uncorrected energy at -28.95 eV for the cell shown. The calculated formation energy comes out at 1.278 eV/atom.

Cell lengths 4.544, 4.544, 4.544 Å; angles 90.00, 90.00, 90.00 degrees
Space group Pm-3m (No. 221)
Symmetry-distinct sites (fractional):
Zn (0.000, 0.000, 0.000) x1
Bi (0.500, 0.500, 0.500) x1
Ir (0.000, 0.000, 0.500) x3

| no. | size of the total moment (μB per atom) |
| --- | --- |
| 1 | 0.0001 |
| 2 | 0.0000 |
| 3 | 0.7149 |
| 4 | 0.0002 |
| 5 | 0.0000 |
| 6 | 0.0001 |